Here is GePd6Pt2 after structural relaxation from Alexandria. Energies are from GGA-PBE.

abc: 4.8017 4.8474 6.3230
angles: 81.74 73.69 79.27
Last column: nearest neighbours and their distance in Å.
Positions (direct):
1 Ge 0.0000 0.0000 0.0000  8 Pd 2.70-2.83, 4 Pt 2.72-2.86
2 Pd 0.1080 0.2212 0.5565  2 Pt 2.75-2.83, 9 Pd 2.76-2.84, 1 Ge 2.79
3 Pd 0.3290 0.6683 0.6704  3 Pt 2.75-2.82, 1 Ge 2.76, 8 Pd 2.76-2.85
4 Pd 0.4546 0.8938 0.2187  2 Ge 2.70-2.83, 7 Pd 2.75-2.85, 3 Pt 2.80-2.83
5 Pd 0.5454 0.1062 0.7813  2 Ge 2.70-2.83, 7 Pd 2.75-2.85, 3 Pt 2.80-2.83
6 Pd 0.6710 0.3317 0.3296  3 Pt 2.75-2.82, 1 Ge 2.76, 8 Pd 2.76-2.85
7 Pd 0.8920 0.7788 0.4435  2 Pt 2.75-2.83, 9 Pd 2.76-2.84, 1 Ge 2.79
8 Pt 0.2204 0.4552 0.1101  2 Ge 2.72-2.86, 2 Pt 2.74-2.78, 8 Pd 2.75-2.83
9 Pt 0.7796 0.5448 0.8899  2 Ge 2.72-2.86, 2 Pt 2.74-2.78, 8 Pd 2.75-2.83

Energy above the most stable polymorph in this dataset (meV per atom): 0
Magnetization (μB per formula unit): 0.000
ΔE_f (eV/atom): -0.158

---

Here is AcGdSnBr after structural relaxation from Alexandria. Energies are from GGA-PBE.

abc: 5.5614 5.5614 5.5614
angles: 60.00 60.00 60.00
Last column: nearest neighbours and their distance in Å.
Positions (direct):
1 Ac 0.0000 0.0000 0.0000  4 Sn 3.41, 4 Br 3.41
2 Gd 0.5000 0.5000 0.5000  4 Sn 3.41, 4 Br 3.41
3 Sn 0.2500 0.2500 0.2500  4 Gd 3.41, 4 Ac 3.41
4 Br 0.7500 0.7500 0.7500  4 Gd 3.41, 4 Ac 3.41

Magnetization (μB per formula unit): 7.593
Uncorrected formation energy (eV per atom): -0.91

---

Here is Pr4DySc after structural relaxation from Alexandria. Energies are from GGA-PBE.

abc: 8.1883 8.1883 3.4872
angles: 90.00 90.00 90.27
Last column: nearest neighbours and their distance in Å.
Positions (direct):
1 Pr 0.2327 0.7673 0.0000  1 Dy 3.10, 2 Sc 3.21
2 Pr 0.2547 0.2547 0.5000  1 Sc 2.94
3 Pr 0.7453 0.7453 0.5000  1 Sc 2.94
4 Pr 0.7673 0.2327 0.0000  1 Dy 3.10, 2 Sc 3.21
5 Dy 0.5000 0.5000 0.0000  6 Pr 3.10-3.33
6 Sc 0.0000 0.0000 0.5000  6 Pr 2.94-3.21

Energy above the most stable polymorph in this dataset (meV per atom): 524
Magnetization (μB per formula unit): 0.003
ΔE_f (eV/atom): 0.560

---

Here is Pr2DyYEr6 after structural relaxation from Alexandria. Energies are from GGA-PBE.

abc: 8.7584 8.7584 9.6812
angles: 94.65 94.65 118.32
Last column: nearest neighbours and their distance in Å.
Positions (direct):
1 Pr 0.1924 0.2986 0.0426  6 Er 3.26-3.64, 2 Y 3.35-3.38, 1 Dy 3.56
2 Pr 0.2986 0.1924 0.5426  6 Er 3.26-3.64, 2 Y 3.35-3.38, 1 Dy 3.56
3 Pr 0.7014 0.8076 0.4574  6 Er 3.26-3.64, 2 Y 3.35-3.38, 1 Dy 3.56
4 Pr 0.8076 0.7014 0.9574  6 Er 3.26-3.64, 2 Y 3.35-3.38, 1 Dy 3.56
5 Dy 0.4063 0.5937 0.7500  8 Er 3.44-3.73, 2 Pr 3.56
6 Dy 0.5937 0.4063 0.2500  8 Er 3.44-3.73, 2 Pr 3.56
7 Y 0.0173 0.9827 0.2500  4 Pr 3.35-3.38, 4 Er 3.59-3.66
8 Y 0.9827 0.0173 0.7500  4 Pr 3.35-3.38, 4 Er 3.59-3.66
9 Er 0.0239 0.5766 0.1877  3 Er 3.22-3.60, 1 Pr 3.38, 1 Dy 3.46, 1 Y 3.59
10 Er 0.1263 0.7426 0.5574  8 Er 3.38-3.76, 1 Pr 3.51, 1 Y 3.66, 1 Dy 3.73
11 Er 0.2574 0.8737 0.9426  8 Er 3.38-3.76, 1 Pr 3.51, 1 Y 3.66, 1 Dy 3.73
12 Er 0.2916 0.5023 0.3813  4 Er 3.22-3.48, 3 Pr 3.26-3.44, 2 Dy 3.44-3.55
13 Er 0.4234 0.9761 0.3123  3 Er 3.22-3.60, 1 Pr 3.38, 1 Dy 3.46, 1 Y 3.59
14 Er 0.4977 0.7084 0.1187  4 Er 3.22-3.48, 3 Pr 3.26-3.44, 2 Dy 3.44-3.55
15 Er 0.5023 0.2916 0.8813  4 Er 3.22-3.48, 3 Pr 3.26-3.44, 2 Dy 3.44-3.55
16 Er 0.5766 0.0239 0.6877  3 Er 3.22-3.60, 1 Pr 3.38, 1 Dy 3.46, 1 Y 3.59
17 Er 0.7084 0.4977 0.6187  4 Er 3.22-3.48, 3 Pr 3.26-3.44, 2 Dy 3.44-3.55
18 Er 0.7426 0.1263 0.0574  8 Er 3.38-3.76, 1 Pr 3.51, 1 Y 3.66, 1 Dy 3.73
19 Er 0.8737 0.2574 0.4426  8 Er 3.38-3.76, 1 Pr 3.51, 1 Y 3.66, 1 Dy 3.73
20 Er 0.9761 0.4234 0.8123  3 Er 3.22-3.60, 1 Pr 3.38, 1 Dy 3.46, 1 Y 3.59

Magnetization (μB per formula unit): 0.004
ΔE_f (eV/atom): 0.117